Record 1
{
  "formula": "SbOsBr2",
  "functional": "PBE",
  "state": "relaxed",
  "raw_formation_energy_ev_per_atom": 0.52,
  "lattice_angstrom": [[-2.830, 0.426, 1.454], [-0.722, -3.087, -0.506], [3.878, -2.253, 8.206]],
  "species": ["Br", "Br", "Sb", "Os"],
  "fractional_positions": [[0.500, 0.500, 0.328], [0.000, 0.000, 0.963], [0.500, 0.500, 0.690], [0.000, 0.000, 0.519]]
}

---

Record 2
{
  "formula": "La6TeAs2P3",
  "functional": "PBE",
  "state": "relaxed",
  "raw_formation_energy_ev_per_atom": -1.61,
  "lattice_angstrom": [[-2.412, -0.664, 3.553], [5.591, -6.198, 2.637], [4.713, 8.272, 2.089]],
  "species": ["La", "La", "La", "La", "La", "La", "P", "P", "P", "Te", "As", "As"],
  "fractional_positions": [[0.674, 0.084, 0.348], [0.334, 0.414, 0.667], [0.666, 0.586, 0.333], [0.326, 0.916, 0.652], [0.999, 0.270, 0.997], [0.001, 0.730, 0.003], [0.835, 0.167, 0.670], [0.500, 0.500, 0.000], [0.165, 0.833, 0.330], [0.500, 0.000, 0.000], [0.834, 0.668, 0.667], [0.166, 0.332, 0.333]]
}

---

Record 3
{
  "formula": "Tb4Zn3Ag2",
  "functional": "PBE",
  "state": "relaxed",
  "ef_ev_per_atom": -0.24,
  "lattice_angstrom": [[4.858, 0.001, 0.001], [2.429, 4.843, 0.477], [-0.002, 0.414, 8.831]],
  "species": ["Tb", "Tb", "Tb", "Tb", "Zn", "Zn", "Zn", "Ag", "Ag"],
  "fractional_positions": [[0.075, 0.850, 0.336], [0.648, 0.704, 0.906], [0.352, 0.296, 0.094], [0.925, 0.150, 0.664], [0.623, 0.754, 0.562], [0.000, 0.000, 0.000], [0.377, 0.246, 0.438], [0.238, 0.524, 0.710], [0.762, 0.476, 0.290]]
}

---

What DOS at the Fermi energy values result from the calculations? In sequence: 4.9; 2.6; 7.1 states/eV per cell.